1.
TcNiPb2: optimized geometry, GGA-PBEsol.

Properties
**Energy relative to the elements**: 2.5 eV per formula unit
**V**: 17.97 Å³ per atom
**Space-group type**: Fm-3m (225)
**Energy above the most stable polymorph in this dataset**: 95 meV per atom

a b c (Å): 4.667 4.667 4.667
angles (deg): 60.00 60.00 60.00
Fractional positions:
Pb  0.250  0.250  0.250
Pb  0.750  0.750  0.750
Tc  0.500  0.500  0.500
Ni  0.000  0.000  0.000

2.
TcNi2Pb: optimized geometry, GGA-PBEsol.

Properties
**Energy relative to the elements**: 1.6 eV per formula unit
**V**: 14.42 Å³ per atom
**Space-group type**: P4mm (99)

a b c (Å): 3.040 3.040 6.242
angles (deg): 90.00 90.00 90.00
Fractional positions:
Ni  0.500  0.500  0.208
Pb  0.000  0.000  0.479
Ni  0.000  0.000  0.009
Tc  0.500  0.500  0.804

3.
NiTePb2: optimized geometry, GGA-PBEsol.

Properties
**V**: 24.90 Å³ per atom
**Space-group type**: Immm (71)
**Uncorrected formation energy**: 59 meV/atom

a b c (Å): 3.476 3.903 7.792
angles (deg): 104.50 102.89 90.00
Fractional positions:
Te  0.000  0.500  0.000
Ni  0.500  0.000  0.000
Pb  0.169  0.169  0.339
Pb  0.831  0.831  0.661

4.
NiTe2Pb: optimized geometry, GGA-PBEsol.

Properties
**V**: 25.24 Å³ per atom
**Space-group type**: R-3m (166)
**Uncorrected formation energy**: 368 meV/atom

a b c (Å): 3.266 3.266 11.091
angles (deg): 81.53 81.53 60.00
Last column: magnetic moment on the atom in μB.
Fractional positions:
Ni  0.000  0.000  0.000  0.32
Pb  0.500  0.500  0.500  0.00
Te  0.927  0.927  0.219  0.00
Te  0.073  0.073  0.781  0.00

5.
TiNiPb2: optimized geometry, GGA-PBEsol.

Properties
**Energy relative to the elements**: 1.2 eV per formula unit
**V**: 19.32 Å³ per atom
**Space-group type**: Fm-3m (225)

a b c (Å): 4.781 4.781 4.781
angles (deg): 60.00 60.00 60.00
Last column: magnetic moment on the atom in μB.
Fractional positions:
Ni  0.500  0.500  0.500  -0.02
Ti  0.000  0.000  0.000  1.19
Pb  0.250  0.250  0.250  0.03
Pb  0.750  0.750  0.750  0.03

6.
YTiNi2Pb: optimized geometry, GGA-PBEsol.

Properties
**Energy relative to the elements**: 6.2 eV per formula unit
**V**: 22.76 Å³ per atom
**Space-group type**: P4/mmm (123)

a b c (Å): 4.508 4.508 5.598
angles (deg): 90.00 90.00 90.00
Fractional positions:
Ni  0.000  0.500  0.000
Pb  0.000  0.000  0.500
Y  0.000  0.000  0.000
Ti  0.500  0.500  0.500
Ni  0.500  0.000  0.000

7.
TlNiPb: optimized geometry, GGA-PBEsol.

Properties
**Energy relative to the elements**: 2.0 eV per formula unit
**V**: 24.83 Å³ per atom
**Space-group type**: F-43m (216)

a b c (Å): 4.723 4.723 4.723
angles (deg): 60.00 60.00 60.00
Fractional positions:
Pb  0.250  0.250  0.250
Ni  0.500  0.500  0.500
Tl  0.000  0.000  0.000

8.
TmNiPb: optimized geometry, GGA-PBEsol.

Properties
**Energy relative to the elements**: -1.3 eV per formula unit
**V**: 19.84 Å³ per atom
**Space-group type**: Pnma (62)

a b c (Å): 4.453 6.973 7.666
angles (deg): 90.00 90.00 90.00
Fractional positions:
Pb  0.250  0.813  0.086
Ni  0.250  0.215  0.084
Pb  0.750  0.687  0.586
Tm  0.250  0.488  0.801
Ni  0.750  0.285  0.584
Pb  0.250  0.313  0.414
Tm  0.750  0.012  0.301
Pb  0.750  0.187  0.914
Ni  0.750  0.785  0.916
Ni  0.250  0.715  0.416
Tm  0.750  0.512  0.199
Tm  0.250  0.988  0.699

9.
NiPbW2: optimized geometry, GGA-PBEsol.

Properties
**Energy relative to the elements**: 2.8 eV per formula unit
**V**: 16.84 Å³ per atom
**Space-group type**: Pmmm (47)

a b c (Å): 2.802 3.370 7.135
angles (deg): 90.00 90.00 90.00
Fractional positions:
Pb  0.500  0.500  0.500
W  0.000  0.000  0.816
Ni  0.500  0.500  0.000
W  0.000  0.000  0.184

10.
NiPbW3: optimized geometry, GGA-PBEsol.

Properties
**Energy relative to the elements**: 18.3 eV per formula unit
**V**: 23.43 Å³ per atom
**Space-group type**: Pm-3m (221)

a b c (Å): 4.893 4.893 4.893
angles (deg): 90.00 90.00 90.00
Last column: magnetic moment on the atom in μB.
Fractional positions:
W  0.000  0.000  0.500  0.03
W  0.000  0.500  0.000  0.03
Pb  0.000  0.000  0.000  0.01
Ni  0.500  0.500  0.500  0.50
W  0.500  0.000  0.000  0.03

11.
NiPbW2: optimized geometry, GGA-PBEsol.

Properties
**Energy relative to the elements**: 3.5 eV per formula unit
**V**: 16.22 Å³ per atom
**Space-group type**: Cmmm (65)

a b c (Å): 2.888 5.018 5.018
angles (deg): 116.80 90.00 90.00
Fractional positions:
Ni  0.500  0.000  0.000
W  0.000  0.500  0.000
W  0.000  0.000  0.500
Pb  0.500  0.500  0.500

12.
NiPbW2: optimized geometry, GGA-PBEsol.

Properties
**Energy relative to the elements**: 2.9 eV per formula unit
**V**: 15.96 Å³ per atom
**Space-group type**: I-4m2 (119)

a b c (Å): 4.037 4.037 4.846
angles (deg): 114.62 114.62 90.00
Fractional positions:
Pb  0.250  0.750  0.500
W  0.750  0.250  0.500
Ni  0.500  0.500  0.000
W  0.000  0.000  0.000